A relaxed structure of AlTlPt. Source: the Alexandria database, functional PBEsol.

Cell lengths 4.4441, 4.4441, 4.4441 Å; angles 60.00, 60.00, 60.00 degrees
Positions (direct):
Al (0.0000, 0.0000, 0.0000)
Pt (0.5000, 0.5000, 0.5000)
Tl (0.2500, 0.2500, 0.2500)

## Properties
Energy of formation from the pure elements (eV per atom): 0.2941
ΔE to the lowest computed polymorph (meV per atom): 566
Final energy (eV/cell): -12.803
Space group: F-43m (216)
V (Å³/f.u.): 62
Total moment (Bohr magnetons per cell): 0.00


A relaxed structure of TeAs2Ir. Source: the Alexandria database, functional PBEsol.

Cell lengths 4.0700, 4.3040, 5.2587 Å; angles 91.02, 90.00, 90.00 degrees
Positions (direct):
Te (0.5000, 0.3382, 0.7164)
As (0.0000, 0.0198, 0.1859)
As (0.5000, 0.6444, 0.1735)
Ir (0.0000, 0.4976, 0.4241)

## Properties
Final energy (eV/cell): -23.253
Space group: Pm (6)
V (Å³/f.u.): 92
Total moment (Bohr magnetons per cell): 0.00


A relaxed structure of HgBTe2N. Source: the Alexandria database, functional PBEsol.

Cell lengths 3.9490, 5.6920, 5.6920 Å; angles 90.00, 90.00, 90.00 degrees
Last column: magnetic moment on the atom in μB.
Positions (direct):
Hg (0.0000, 0.0000, 0.0000)  0.06
N (0.5000, 0.0000, 0.0000)  0.89
Te (0.0000, 0.5000, 0.0000)  0.10
Te (0.0000, 0.0000, 0.5000)  0.10
B (0.5000, 0.5000, 0.5000)  0.01

## Properties
Final energy (eV/cell): -13.172
Space group: P4/mmm (123)
V (Å³/f.u.): 128
Total moment (Bohr magnetons per cell): 1.63


A relaxed structure of CuPAu3. Source: the Alexandria database, functional PBEsol.

Cell lengths 4.6030, 4.6030, 4.6030 Å; angles 90.00, 90.00, 90.00 degrees
Positions (direct):
Au (0.0000, 0.5000, 0.0000)
Au (0.0000, 0.0000, 0.5000)
Au (0.5000, 0.0000, 0.0000)
Cu (0.5000, 0.5000, 0.5000)
P (0.0000, 0.0000, 0.0000)

## Properties
Energy of formation from the pure elements (eV per atom): 0.5466
Final energy (eV/cell): -19.165
Space group: Pm-3m (221)
V (Å³/f.u.): 98
Total moment (Bohr magnetons per cell): 0.00


A relaxed structure of Ba5P3BrO12. Source: the Alexandria database, functional PBEsol.

Cell lengths 7.6584, 10.3425, 10.3425 Å; angles 120.00, 90.00, 90.00 degrees
Positions (direct):
O (0.4150, 0.3586, 0.0903)
O (0.5850, 0.0903, 0.7316)
O (0.4150, 0.7316, 0.6414)
O (0.2500, 0.5391, 0.4177)
O (0.7500, 0.6567, 0.1332)
O (0.2500, 0.5823, 0.1214)
O (0.7500, 0.4765, 0.3433)
O (0.2500, 0.5235, 0.6567)
O (0.7500, 0.4609, 0.5823)
O (0.0850, 0.7316, 0.6414)
O (0.4150, 0.9097, 0.2684)
O (0.9150, 0.0903, 0.7316)
O (0.2500, 0.1332, 0.4765)
O (0.5850, 0.6414, 0.9097)
O (0.0850, 0.3586, 0.0903)
O (0.9150, 0.6414, 0.9097)
O (0.9150, 0.2684, 0.3586)
O (0.7500, 0.1214, 0.5391)
O (0.2500, 0.3433, 0.8668)
O (0.7500, 0.4177, 0.8786)
O (0.7500, 0.8668, 0.5235)
O (0.5850, 0.2684, 0.3586)
O (0.2500, 0.8786, 0.4609)
O (0.0850, 0.9097, 0.2684)
Ba (0.0015, 0.3333, 0.6667)
Ba (0.5015, 0.6667, 0.3333)
Ba (0.7500, 0.9855, 0.2515)
Ba (0.2500, 0.7340, 0.9855)
Ba (0.7500, 0.7485, 0.7340)
Ba (0.2500, 0.0145, 0.7485)
Ba (0.7500, 0.2660, 0.0145)
Ba (0.9985, 0.6667, 0.3333)
Ba (0.2500, 0.2515, 0.2660)
Ba (0.4985, 0.3333, 0.6667)
Br (0.0000, 0.0000, 0.0000)
Br (0.5000, 0.0000, 0.0000)
P (0.7500, 0.5920, 0.9612)
P (0.7500, 0.0388, 0.6308)
P (0.2500, 0.9612, 0.3692)
P (0.2500, 0.6308, 0.5920)
P (0.2500, 0.4080, 0.0388)
P (0.7500, 0.3692, 0.4080)

## Properties
Final energy (eV/cell): -306.393
Space group: P6_3/m (176)
V (Å³/f.u.): 355
Total moment (Bohr magnetons per cell): 0.00


A relaxed structure of InNi2Os. Source: the Alexandria database, functional PBEsol.

Cell lengths 3.7699, 3.7699, 4.6579 Å; angles 113.87, 113.87, 90.00 degrees
Last column: magnetic moment on the atom in μB.
Positions (direct):
Ni (0.0000, 0.0000, 0.0000)  0.33
Ni (0.7500, 0.2500, 0.5000)  0.58
Os (0.5000, 0.5000, 0.0000)  0.61
In (0.2500, 0.7500, 0.5000)  -0.01

## Properties
Energy of formation from the pure elements (eV per atom): 0.3014
Final energy (eV/cell): -26.308
Space group: I-4m2 (119)
V (Å³/f.u.): 54
Total moment (Bohr magnetons per cell): 1.49


A relaxed structure of Ca3SbMo. Source: the Alexandria database, functional PBEsol.

Cell lengths 5.2780, 5.2780, 5.2780 Å; angles 90.00, 90.00, 90.00 degrees
Positions (direct):
Ca (0.0000, 0.5000, 0.0000)
Ca (0.5000, 0.0000, 0.0000)
Ca (0.0000, 0.0000, 0.5000)
Mo (0.0000, 0.0000, 0.0000)
Sb (0.5000, 0.5000, 0.5000)

## Properties
Final energy (eV/cell): -19.461
Space group: Pm-3m (221)
V (Å³/f.u.): 147
Total moment (Bohr magnetons per cell): 0.00


A relaxed structure of AsSeCl2. Source: the Alexandria database, functional PBEsol.

Cell lengths 3.0156, 4.1088, 6.0591 Å; angles 90.00, 90.00, 90.00 degrees
Positions (direct):
Cl (0.0000, 0.0000, 0.2618)
Cl (0.0000, 0.0000, 0.7382)
Se (0.5000, 0.5000, 0.0000)
As (0.5000, 0.5000, 0.5000)

## Properties
ΔE to the lowest computed polymorph (meV per atom): 591
Final energy (eV/cell): -11.341
Space group: Pmmm (47)
V (Å³/f.u.): 75
Total moment (Bohr magnetons per cell): 0.00


A relaxed structure of Pr3CuSiSe7. Source: the Alexandria database, functional PBEsol.

Cell lengths 5.9983, 10.5362, 10.5362 Å; angles 120.00, 90.00, 90.00 degrees
Positions (direct):
Se (0.5132, 0.8957, 0.4786)
Se (0.7586, 0.9087, 0.1641)
Se (0.5371, 0.3333, 0.6667)
Se (0.0132, 0.4171, 0.8957)
Se (0.0132, 0.1043, 0.5214)
Se (0.7586, 0.2554, 0.0913)
Se (0.5132, 0.5214, 0.4171)
Se (0.0371, 0.6667, 0.3333)
Se (0.5132, 0.5829, 0.1043)
Se (0.0132, 0.4786, 0.5829)
Se (0.7586, 0.8359, 0.7446)
Se (0.2586, 0.0913, 0.8359)
Se (0.2586, 0.1641, 0.2554)
Se (0.2586, 0.7446, 0.9087)
Si (0.6614, 0.6667, 0.3333)
Si (0.1614, 0.3333, 0.6667)
Pr (0.2464, 0.7718, 0.6441)
Pr (0.7464, 0.2282, 0.3559)
Pr (0.7464, 0.1277, 0.7718)
Pr (0.7464, 0.6441, 0.8723)
Pr (0.2464, 0.8723, 0.2282)
Pr (0.2464, 0.3559, 0.1277)
Cu (0.7696, 0.0000, 0.0000)
Cu (0.2696, 0.0000, 0.0000)

## Properties
Final energy (eV/cell): -138.298
Space group: P6_3 (173)
V (Å³/f.u.): 288
Total moment (Bohr magnetons per cell): 0.00


A relaxed structure of Li2NiOs. Source: the Alexandria database, functional PBEsol.

Cell lengths 2.5206, 4.3570, 5.0777 Å; angles 115.41, 104.37, 90.00 degrees
Last column: magnetic moment on the atom in μB.
Positions (direct):
Li (0.2651, 0.2651, 0.5303)  0.00
Li (0.7349, 0.7349, 0.4697)  0.00
Os (0.5000, 0.0000, 0.0000)  0.09
Ni (0.0000, 0.5000, 0.0000)  0.11

## Properties
Energy of formation from the pure elements (eV per atom): 0.1070
ΔE to the lowest computed polymorph (meV per atom): 7
Final energy (eV/cell): -21.879
Space group: Immm (71)
V (Å³/f.u.): 48
Total moment (Bohr magnetons per cell): 0.19


A relaxed structure of LaZn3B. Source: the Alexandria database, functional PBEsol.

Cell lengths 5.6139, 5.6139, 5.6139 Å; angles 90.00, 90.00, 90.00 degrees
Last column: magnetic moment on the atom in μB.
Positions (direct):
Zn (0.0000, 0.0000, 0.5000)  0.06
Zn (0.5000, 0.0000, 0.0000)  0.06
Zn (0.0000, 0.5000, 0.0000)  0.06
B (0.5000, 0.5000, 0.5000)  0.17
La (0.0000, 0.0000, 0.0000)  0.37

## Properties
Energy of formation from the pure elements (eV per atom): 2.0375
Final energy (eV/cell): -6.921
Space group: Pm-3m (221)
V (Å³/f.u.): 177
Total moment (Bohr magnetons per cell): 1.68


A relaxed structure of CaTlSiSb2. Source: the Alexandria database, functional PBEsol.

Cell lengths 5.5940, 5.5940, 5.5738 Å; angles 90.00, 90.00, 90.00 degrees
Positions (direct):
Si (0.5000, 0.5000, 0.5000)
Tl (0.0000, 0.0000, 0.5000)
Ca (0.0000, 0.0000, 0.0000)
Sb (0.5000, 0.0000, 0.0000)
Sb (0.0000, 0.5000, 0.0000)

## Properties
Final energy (eV/cell): -15.044
Space group: P4/mmm (123)
V (Å³/f.u.): 174
Total moment (Bohr magnetons per cell): 0.00